# KMgSi meta-GGA SCAN single point on PBEsol structure
data_KMgSi
_space_group_name_H-M_alt 'I 4 m m'
_space_group_IT_number 107
_space_group_name_Hall 'I 4 -2'
_cell_length_a 3.704
_cell_length_b 3.704
_cell_length_c 12.229
_cell_angle_alpha 90.00
_cell_angle_beta 90.00
_cell_angle_gamma 90.00
loop_
_atom_site_label
_atom_site_type_symbol
_atom_site_fract_x
_atom_site_fract_y
_atom_site_fract_z
K1 K 0.000 0.000 0.000
Mg1 Mg 0.000 0.000 0.732
Si1 Si 0.000 0.000 0.294
# - magnetization (μB/cell) = 0.00
# - E above lowest polymorph (meV/atom) = 26